No. 1
First-principles (GGA-PBE) data for an optimized crystal structure of ZnHg2Se, as listed in the Alexandria database.

Theoretical density in kg/m3: 9072
Total DFT energy (no corrections) in Ry/atom: -0.08886
Energy above the lowest structure with this stoichiometry in eV per atom: 0.3439

Lattice parameters (Å, degrees): 6.6233 6.6233 3.0535 90.29 90.29 131.79
Closest atoms and distances in Å follow each position.
Positions (direct):
Zn 0.0000 0.0000 0.0000  2 Se 2.70
Hg 0.0000 0.5000 0.5000  2 Hg 2.70
Hg 0.5000 0.0000 0.5000  2 Hg 2.70
Se 0.5000 0.5000 0.0000  2 Zn 2.70



No. 2
First-principles (GGA-PBE) data for an optimized crystal structure of ZnHgSe2, as listed in the Alexandria database.

Theoretical density in kg/m3: 7133
Total DFT energy (no corrections) in Ry/atom: -0.17669

Lattice parameters (Å, degrees): 4.2652 4.2652 6.7876 95.90 95.90 53.56
Closest atoms and distances in Å follow each position.
Positions (direct):
Zn 0.0000 0.0000 0.0000  4 Se 2.61
Hg 0.5000 0.5000 0.5000  2 Se 2.52
Se 0.3305 0.3305 0.7979  1 Hg 2.52, 2 Zn 2.61
Se 0.6695 0.6695 0.2021  1 Hg 2.52, 2 Zn 2.61



No. 3
First-principles (GGA-PBE) data for an optimized crystal structure of ZnHg2Se, as listed in the Alexandria database.

Theoretical density in kg/m3: 7954
Total DFT energy (no corrections) in Ry/atom: -0.10621
Energy above the lowest structure with this stoichiometry in eV per atom: 0.1078

Lattice parameters (Å, degrees): 3.5792 3.5792 8.8908 90.00 90.00 90.00
Closest atoms and distances in Å follow each position.
Positions (direct):
Zn 0.0000 0.0000 0.0000  4 Se 2.57, 1 Hg 2.77
Hg 0.0000 0.0000 0.6881  1 Zn 2.77
Hg 0.5000 0.5000 0.4270  1 Se 3.34, 8 Hg 3.43-3.58
Se 0.5000 0.5000 0.0512  4 Zn 2.57



Calculated energy relative to the elements, uncorrected in order - 0.13 -0.27 -0.10 eV/atom